Co3Sb after structural relaxation, computed with PBE.

formation energy without anion corrections	0.49	eV/atom
space-group type	R-3m, No. 166
magnetization	4.390	μB per cell

Structure (POSCAR):
```
Co3Sb
1.0
1.502 0.867 7.410
-1.502 0.867 7.410
0.000 -1.734 7.410
Co Sb
3 1
Direct
0.000 0.000 0.000
0.257 0.257 0.257
0.743 0.743 0.743
0.500 0.500 0.500
```